Record 1
Sm5Ho2Er4 | GGA-PBE | optimized geometry Values from VASP.

Cell and atoms, written as Quantum ESPRESSO input:
```
&SYSTEM
  ibrav = 0, nat = 11, ntyp = 3
/
ATOMIC_SPECIES
Sm 150.36 Sm.upf
Ho 164.93 Ho.upf
Er 167.26 Er.upf
CELL_PARAMETERS angstrom
-1.751 4.520 11.682
1.751 -4.520 11.682
1.751 4.520 -11.682
ATOMIC_POSITIONS angstrom
Sm 0.000 0.000 0.000
Sm 1.751 1.810 -3.400
Sm 1.751 1.810 3.400
Sm 0.000 2.710 8.282
Sm 0.000 2.710 15.082
Ho 1.751 0.000 6.292
Ho 0.000 4.520 5.390
Er 1.751 2.830 0.000
Er 1.751 0.000 9.422
Er 0.000 4.520 2.259
Er 0.000 1.690 11.682
```

* ΔE to the lowest computed polymorph: 25 meV per atom
* crystal system: orthorhombic
* energy relative to the elements: 0.207 eV per atom
* size of the total moment: 0.0 μB/cell

Record 2
Sm5Ho3Er | GGA-PBE | optimized geometry Values from VASP.

Cell and atoms, written as Quantum ESPRESSO input:
```
&SYSTEM
  ibrav = 0, nat = 18, ntyp = 3
/
ATOMIC_SPECIES
Sm 150.36 Sm.upf
Ho 164.93 Ho.upf
Er 167.26 Er.upf
CELL_PARAMETERS angstrom
7.583 -5.804 0.000
7.583 5.804 0.000
-6.284 0.000 7.579
ATOMIC_POSITIONS angstrom
Sm 3.722 2.932 1.957
Sm 1.963 0.000 1.798
Sm 7.583 2.953 0.000
Sm -1.820 0.000 7.239
Sm 5.161 2.932 5.622
Sm 3.722 -2.932 1.957
Sm 10.703 0.000 0.340
Sm 7.583 -2.953 0.000
Sm 6.920 0.000 5.781
Sm 5.161 -2.932 5.622
Ho -3.142 0.000 3.790
Ho -5.046 0.000 6.242
Ho 3.287 0.000 4.898
Ho 7.583 0.000 0.000
Ho 5.596 0.000 2.681
Ho 13.929 0.000 1.337
Er 0.024 0.000 4.509
Er 8.859 0.000 3.070
```

* ΔE to the lowest computed polymorph: 212 meV per atom
* crystal system: monoclinic
* energy relative to the elements: 0.499 eV per atom
* size of the total moment: 0.0 μB/cell

Record 3
Sm3HoEr2 | GGA-PBE | optimized geometry Values from VASP.

Cell and atoms, written as Quantum ESPRESSO input:
```
&SYSTEM
  ibrav = 0, nat = 12, ntyp = 3
/
ATOMIC_SPECIES
Sm 150.36 Sm.upf
Ho 164.93 Ho.upf
Er 167.26 Er.upf
CELL_PARAMETERS angstrom
8.750 -3.573 0.000
8.750 3.573 0.000
-0.026 0.000 6.169
ATOMIC_POSITIONS angstrom
Sm 8.730 2.680 4.627
Sm 5.814 0.894 3.598
Sm 5.827 -0.894 0.514
Sm 11.646 0.894 5.655
Sm 11.659 -0.894 2.571
Sm 8.743 -2.680 1.542
Ho 8.743 0.894 1.542
Ho 8.730 -0.894 4.627
Er 2.896 0.892 5.655
Er 2.909 -0.892 2.570
Er 14.565 0.892 3.598
Er 14.578 -0.892 0.514
```

* ΔE to the lowest computed polymorph: 17 meV per atom
* crystal system: monoclinic
* energy relative to the elements: 0.020 eV per atom
* size of the total moment: 0.0 μB/cell

Record 4
Sm4HoEr2 | GGA-PBE | optimized geometry Values from VASP.

Cell and atoms, written as Quantum ESPRESSO input:
```
&SYSTEM
  ibrav = 0, nat = 14, ntyp = 3
/
ATOMIC_SPECIES
Sm 150.36 Sm.upf
Ho 164.93 Ho.upf
Er 167.26 Er.upf
CELL_PARAMETERS angstrom
6.198 0.000 0.000
0.000 6.582 0.000
-2.972 0.000 11.151
ATOMIC_POSITIONS angstrom
Sm -0.838 1.645 4.059
Sm -1.896 1.645 10.588
Sm 1.534 3.346 2.391
Sm 1.534 6.527 2.391
Sm 1.692 0.055 8.760
Sm 1.692 3.236 8.760
Sm 5.122 4.936 0.563
Sm 4.065 4.936 7.092
Ho -1.020 1.645 7.398
Ho 4.247 4.936 3.753
Er -0.953 4.936 10.299
Er 0.925 4.936 5.626
Er 2.302 1.645 5.524
Er 4.180 1.645 0.852
```

* ΔE to the lowest computed polymorph: 76 meV per atom
* crystal system: monoclinic
* energy relative to the elements: 0.130 eV per atom
* size of the total moment: 0.0 μB/cell

Record 5
Sm2HoEr5 | GGA-PBE | optimized geometry Values from VASP.

Cell and atoms, written as Quantum ESPRESSO input:
```
&SYSTEM
  ibrav = 0, nat = 16, ntyp = 3
/
ATOMIC_SPECIES
Sm 150.36 Sm.upf
Ho 164.93 Ho.upf
Er 167.26 Er.upf
CELL_PARAMETERS angstrom
7.078 0.000 0.000
0.000 14.155 0.000
0.000 0.000 4.997
ATOMIC_POSITIONS angstrom
Sm 1.771 1.771 0.000
Sm 1.768 8.848 0.000
Sm 5.310 5.307 0.000
Sm 5.307 12.384 0.000
Ho 0.000 0.000 2.498
Ho 3.539 7.077 2.498
Er 0.003 3.540 2.498
Er 0.000 7.077 2.498
Er 7.075 10.615 2.498
Er 1.772 5.308 0.000
Er 1.766 12.386 0.000
Er 3.539 0.000 2.498
Er 3.542 3.537 2.498
Er 3.536 10.617 2.498
Er 5.311 1.769 0.000
Er 5.305 8.846 0.000
```

* ΔE to the lowest computed polymorph: 0 meV per atom
* crystal system: orthorhombic
* energy relative to the elements: 0.020 eV per atom
* size of the total moment: 0.0 μB/cell

Record 6
SmHo3Er5 | GGA-PBE | optimized geometry Values from VASP.

Cell and atoms, written as Quantum ESPRESSO input:
```
&SYSTEM
  ibrav = 0, nat = 18, ntyp = 3
/
ATOMIC_SPECIES
Sm 150.36 Sm.upf
Ho 164.93 Ho.upf
Er 167.26 Er.upf
CELL_PARAMETERS angstrom
8.351 -4.807 0.000
8.351 4.807 0.000
0.000 0.000 6.959
ATOMIC_POSITIONS angstrom
Sm 8.351 2.964 5.219
Sm 8.351 -2.964 1.740
Ho 2.827 0.000 0.000
Ho 2.827 0.000 3.479
Ho 8.351 0.000 0.000
Ho 8.351 0.000 3.479
Ho 13.876 0.000 0.000
Ho 13.876 0.000 3.479
Er 8.351 3.427 1.740
Er 5.390 1.706 5.219
Er 5.754 1.492 1.740
Er 5.390 -1.706 1.740
Er 5.754 -1.492 5.219
Er 10.949 1.492 1.740
Er 11.313 1.706 5.219
Er 10.949 -1.492 5.219
Er 11.313 -1.706 1.740
Er 8.351 -3.427 5.219
```

* ΔE to the lowest computed polymorph: 0 meV per atom
* crystal system: orthorhombic
* energy relative to the elements: 0.063 eV per atom
* size of the total moment: 0.0 μB/cell

Record 7
Sm12Ho7Er | GGA-PBE | optimized geometry Values from VASP.

Cell and atoms, written as Quantum ESPRESSO input:
```
&SYSTEM
  ibrav = 0, nat = 20, ntyp = 3
/
ATOMIC_SPECIES
Sm 150.36 Sm.upf
Ho 164.93 Ho.upf
Er 167.26 Er.upf
CELL_PARAMETERS angstrom
9.778 5.645 2.052
-9.778 5.645 2.052
0.000 -11.290 2.052
ATOMIC_POSITIONS angstrom
Sm -4.042 -4.289 2.052
Sm -5.736 -1.356 2.052
Sm 0.000 -3.991 1.259
Sm -3.456 1.995 1.259
Sm -5.736 1.356 4.104
Sm -1.694 5.645 2.052
Sm 3.456 1.995 1.259
Sm -3.456 -1.995 4.898
Sm -4.042 4.289 4.104
Sm 1.694 5.645 2.052
Sm 3.456 -1.995 4.898
Sm 0.000 3.991 4.898
Ho 0.000 0.000 0.000
Ho -2.387 -1.378 1.805
Ho 2.387 -1.378 1.805
Ho 0.000 2.757 1.805
Ho 0.000 -2.757 4.351
Ho -2.387 1.378 4.351
Ho 2.387 1.378 4.351
Er 0.000 0.000 3.078
```

* ΔE to the lowest computed polymorph: 0 meV per atom
* crystal system: trigonal
* energy relative to the elements: 0.250 eV per atom
* size of the total moment: 0.0 μB/cell

Record 8
Sm2Ho3Er4 | GGA-PBE | optimized geometry Values from VASP.

Cell and atoms, written as Quantum ESPRESSO input:
```
&SYSTEM
  ibrav = 0, nat = 18, ntyp = 3
/
ATOMIC_SPECIES
Sm 150.36 Sm.upf
Ho 164.93 Ho.upf
Er 167.26 Er.upf
CELL_PARAMETERS angstrom
8.072 -5.761 0.000
8.072 5.761 0.000
-0.638 0.000 6.066
ATOMIC_POSITIONS angstrom
Sm 5.658 4.097 4.112
Sm 9.529 4.097 4.988
Sm 5.977 -4.097 1.078
Sm 9.848 -4.097 1.955
Ho 7.913 4.645 1.517
Ho 5.151 1.119 2.457
Ho 4.832 -1.119 5.490
Ho 10.675 1.119 0.577
Ho 10.356 -1.119 3.610
Ho 7.594 -4.645 4.550
Er 2.938 1.604 5.146
Er 6.699 1.626 5.976
Er 3.257 -1.604 2.113
Er 8.488 1.626 3.124
Er 7.018 -1.626 2.943
Er 12.249 1.604 3.954
Er 8.807 -1.626 0.091
Er 12.568 -1.604 0.920
```

* crystal system: monoclinic
* energy relative to the elements: 0.098 eV per atom
* size of the total moment: 0.0 μB/cell

Record 9
Sm8HoEr4 | GGA-PBE | optimized geometry Values from VASP.

Cell and atoms, written as Quantum ESPRESSO input:
```
&SYSTEM
  ibrav = 0, nat = 13, ntyp = 3
/
ATOMIC_SPECIES
Sm 150.36 Sm.upf
Ho 164.93 Ho.upf
Er 167.26 Er.upf
CELL_PARAMETERS angstrom
3.623 2.092 9.455
-3.623 2.092 9.455
0.000 -4.183 9.455
ATOMIC_POSITIONS angstrom
Sm -1.980 -1.143 16.140
Sm 0.000 0.000 6.048
Sm 0.000 -2.286 12.225
Sm -1.980 1.143 12.225
Sm 1.980 -1.143 16.140
Sm 0.000 2.286 16.140
Sm 0.000 0.000 22.317
Sm 1.980 1.143 12.225
Ho 0.000 0.000 14.182
Er 0.000 0.000 0.000
Er -1.811 -1.046 9.455
Er -1.811 1.046 18.910
Er 0.000 2.092 9.455
```

* crystal system: trigonal
* energy relative to the elements: 0.203 eV per atom
* size of the total moment: 0.0 μB/cell

Record 10
Sm2HoEr8 | GGA-PBE | optimized geometry Values from VASP.

Cell and atoms, written as Quantum ESPRESSO input:
```
&SYSTEM
  ibrav = 0, nat = 11, ntyp = 3
/
ATOMIC_SPECIES
Sm 150.36 Sm.upf
Ho 164.93 Ho.upf
Er 167.26 Er.upf
CELL_PARAMETERS angstrom
4.491 -7.984 0.000
4.491 7.984 0.000
-3.207 0.000 4.879
ATOMIC_POSITIONS angstrom
Sm 4.491 4.905 0.000
Sm 4.491 -4.905 0.000
Ho 2.888 0.000 2.439
Er -0.322 0.000 1.441
Er -0.080 1.864 4.022
Er 2.888 3.303 2.439
Er -0.080 -1.864 4.022
Er 5.856 1.864 0.857
Er 2.888 -3.303 2.439
Er 5.856 -1.864 0.857
Er 6.098 0.000 3.437
```

* ΔE to the lowest computed polymorph: 45 meV per atom
* crystal system: monoclinic
* energy relative to the elements: 0.162 eV per atom
* size of the total moment: 0.0 μB/cell

Record 11
SmHo7Er2 | GGA-PBE | optimized geometry Values from VASP.

Cell and atoms, written as Quantum ESPRESSO input:
```
&SYSTEM
  ibrav = 0, nat = 10, ntyp = 3
/
ATOMIC_SPECIES
Sm 150.36 Sm.upf
Ho 164.93 Ho.upf
Er 167.26 Er.upf
CELL_PARAMETERS angstrom
6.113 0.000 0.000
-1.016 6.032 0.000
-3.042 -2.578 8.431
ATOMIC_POSITIONS angstrom
Sm 0.000 0.000 0.000
Ho -2.029 1.727 4.215
Ho 0.005 -1.028 3.377
Ho -2.017 0.699 7.582
Ho -1.003 3.971 6.733
Ho 3.058 -0.517 1.698
Ho 4.072 2.755 0.849
Ho 2.050 4.482 5.053
Er 1.023 2.247 2.537
Er 1.033 1.207 5.894
```

* ΔE to the lowest computed polymorph: 0 meV per atom
* crystal system: triclinic
* energy relative to the elements: 0.021 eV per atom
* size of the total moment: 0.0 μB/cell

Record 12
SmHo3Er12 | GGA-PBE | optimized geometry Values from VASP.

Cell and atoms, written as Quantum ESPRESSO input:
```
&SYSTEM
  ibrav = 0, nat = 16, ntyp = 3
/
ATOMIC_SPECIES
Sm 150.36 Sm.upf
Ho 164.93 Ho.upf
Er 167.26 Er.upf
CELL_PARAMETERS angstrom
4.973 0.000 0.000
0.000 4.973 0.000
0.000 0.000 19.885
ATOMIC_POSITIONS angstrom
Sm 0.000 0.000 0.000
Ho 0.000 0.000 4.985
Ho 0.000 0.000 9.942
Ho 0.000 0.000 14.900
Er 0.000 2.486 2.511
Er 0.000 2.486 7.466
Er 0.000 2.486 12.418
Er 0.000 2.486 17.374
Er 2.486 0.000 2.511
Er 2.486 0.000 7.466
Er 2.486 0.000 12.418
Er 2.486 0.000 17.374
Er 2.486 2.486 0.000
Er 2.486 2.486 4.992
Er 2.486 2.486 9.942
Er 2.486 2.486 14.892
```

* crystal system: tetragonal
* energy relative to the elements: 0.022 eV per atom
* size of the total moment: 0.0 μB/cell

Record 13
SmHo6Er | GGA-PBE | optimized geometry Values from VASP.

Cell and atoms, written as Quantum ESPRESSO input:
```
&SYSTEM
  ibrav = 0, nat = 8, ntyp = 3
/
ATOMIC_SPECIES
Sm 150.36 Sm.upf
Ho 164.93 Ho.upf
Er 167.26 Er.upf
CELL_PARAMETERS angstrom
6.516 0.000 0.000
-0.017 6.696 0.000
-1.658 -3.308 5.826
ATOMIC_POSITIONS angstrom
Sm 0.000 0.000 0.000
Ho 0.700 2.261 2.807
Ho 1.630 3.656 0.008
Ho 0.898 -1.100 3.061
Ho 3.943 4.488 2.765
Ho 3.212 -0.269 5.818
Ho 4.142 1.127 3.019
Er 3.258 0.000 0.000
```

* crystal system: triclinic
* energy relative to the elements: 0.209 eV per atom
* size of the total moment: 0.0 μB/cell

Record 14
Sm4HoEr5 | GGA-PBE | optimized geometry Values from VASP.

Cell and atoms, written as Quantum ESPRESSO input:
```
&SYSTEM
  ibrav = 0, nat = 10, ntyp = 3
/
ATOMIC_SPECIES
Sm 150.36 Sm.upf
Ho 164.93 Ho.upf
Er 167.26 Er.upf
CELL_PARAMETERS angstrom
-5.309 5.309 2.942
5.309 -5.309 2.942
5.309 5.309 -2.942
ATOMIC_POSITIONS angstrom
Sm 3.430 0.000 0.000
Sm 7.189 0.000 0.000
Sm 0.000 3.430 0.000
Sm 0.000 7.189 0.000
Ho 0.000 0.000 4.476
Er 0.000 0.000 1.393
Er 3.304 3.304 -0.009
Er 2.006 -2.006 2.934
Er -2.006 2.006 2.934
Er 2.006 2.006 2.934
```

* ΔE to the lowest computed polymorph: 58 meV per atom
* crystal system: tetragonal
* energy relative to the elements: 0.249 eV per atom
* size of the total moment: 0.0 μB/cell

Record 15
Sm2Ho2Er7 | GGA-PBE | optimized geometry Values from VASP.

Cell and atoms, written as Quantum ESPRESSO input:
```
&SYSTEM
  ibrav = 0, nat = 11, ntyp = 3
/
ATOMIC_SPECIES
Sm 150.36 Sm.upf
Ho 164.93 Ho.upf
Er 167.26 Er.upf
CELL_PARAMETERS angstrom
5.561 -5.725 0.000
5.561 5.725 0.000
-2.434 0.000 5.520
ATOMIC_POSITIONS angstrom
Sm 0.274 0.000 1.684
Sm 8.414 0.000 3.836
Ho 5.561 2.445 0.000
Ho 5.561 -2.445 0.000
Er 2.843 2.719 1.772
Er 0.773 0.000 5.079
Er 5.845 2.719 3.747
Er 4.344 0.000 2.760
Er 2.843 -2.719 1.772
Er 7.915 0.000 0.440
Er 5.845 -2.719 3.747
```

* ΔE to the lowest computed polymorph: 0 meV per atom
* crystal system: monoclinic
* energy relative to the elements: 0.158 eV per atom
* size of the total moment: 0.0 μB/cell

Record 16
SmHoEr3 | GGA-PBE | optimized geometry Values from VASP.

Cell and atoms, written as Quantum ESPRESSO input:
```
&SYSTEM
  ibrav = 0, nat = 10, ntyp = 3
/
ATOMIC_SPECIES
Sm 150.36 Sm.upf
Ho 164.93 Ho.upf
Er 167.26 Er.upf
CELL_PARAMETERS angstrom
6.257 0.000 0.000
0.000 5.605 0.000
-3.127 0.000 9.023
ATOMIC_POSITIONS angstrom
Sm 0.515 1.401 2.706
Sm 2.615 4.204 6.317
Ho -0.520 4.204 8.125
Ho 3.649 1.401 0.898
Er -2.595 1.401 8.130
Er -0.532 4.204 4.519
Er 0.524 1.401 6.322
Er 2.606 4.204 2.701
Er 3.662 1.401 4.504
Er 5.724 4.204 0.893
```

* ΔE to the lowest computed polymorph: 0 meV per atom
* crystal system: monoclinic
* energy relative to the elements: 0.006 eV per atom
* size of the total moment: 0.0 μB/cell

Record 17
Sm4Ho8Er | GGA-PBE | optimized geometry Values from VASP.

Cell and atoms, written as Quantum ESPRESSO input:
```
&SYSTEM
  ibrav = 0, nat = 13, ntyp = 3
/
ATOMIC_SPECIES
Sm 150.36 Sm.upf
Ho 164.93 Ho.upf
Er 167.26 Er.upf
CELL_PARAMETERS angstrom
5.484 3.166 4.469
-5.484 3.166 4.469
0.000 -6.332 4.469
ATOMIC_POSITIONS angstrom
Sm 0.000 0.000 0.000
Sm -2.742 -1.583 4.469
Sm -2.742 1.583 8.938
Sm 0.000 3.166 4.469
Ho 0.000 0.000 3.222
Ho 0.000 -3.283 5.538
Ho -2.843 1.642 5.538
Ho -2.843 -1.642 7.869
Ho 2.843 1.642 5.538
Ho 2.843 -1.642 7.869
Ho 0.000 3.283 7.869
Ho 0.000 0.000 10.185
Er 0.000 0.000 6.703
```

* crystal system: trigonal
* energy relative to the elements: 0.512 eV per atom
* size of the total moment: 0.8 μB/cell

Record 18
Sm3Ho2Er7 | GGA-PBE | optimized geometry Values from VASP.

Cell and atoms, written as Quantum ESPRESSO input:
```
&SYSTEM
  ibrav = 0, nat = 12, ntyp = 3
/
ATOMIC_SPECIES
Sm 150.36 Sm.upf
Ho 164.93 Ho.upf
Er 167.26 Er.upf
CELL_PARAMETERS angstrom
5.774 0.000 0.000
0.000 3.541 0.000
-1.012 0.000 18.608
ATOMIC_POSITIONS angstrom
Sm 0.000 0.000 0.000
Sm 0.966 1.771 11.776
Sm 3.795 1.771 6.832
Ho 0.913 0.000 5.443
Ho 3.849 0.000 13.165
Er 0.949 1.771 2.668
Er 0.934 0.000 8.603
Er 0.944 0.000 15.335
Er 2.887 1.771 0.000
Er 3.818 0.000 3.273
Er 3.828 0.000 10.005
Er 3.813 1.771 15.940
```

* ΔE to the lowest computed polymorph: 0 meV per atom
* crystal system: monoclinic
* energy relative to the elements: 0.089 eV per atom
* size of the total moment: 0.0 μB/cell

Record 19
Sm2Ho3Er6 | GGA-PBE | optimized geometry Values from VASP.

Cell and atoms, written as Quantum ESPRESSO input:
```
&SYSTEM
  ibrav = 0, nat = 11, ntyp = 3
/
ATOMIC_SPECIES
Sm 150.36 Sm.upf
Ho 164.93 Ho.upf
Er 167.26 Er.upf
CELL_PARAMETERS angstrom
-2.348 2.348 16.477
2.348 -2.348 16.477
2.348 2.348 -16.477
ATOMIC_POSITIONS angstrom
Sm 0.000 0.000 1.520
Sm 0.000 0.000 31.435
Ho 0.000 0.000 9.849
Ho 0.000 0.000 16.477
Ho 0.000 0.000 23.106
Er 2.348 0.000 4.023
Er 0.000 0.000 6.443
Er 2.348 0.000 12.455
Er 0.000 2.348 4.023
Er 0.000 0.000 26.511
Er 0.000 2.348 12.455
```

* ΔE to the lowest computed polymorph: 89 meV per atom
* crystal system: tetragonal
* energy relative to the elements: 0.279 eV per atom
* size of the total moment: 0.0 μB/cell